An optimized crystal structure of CrCd3, computed with PBE.

Lattice parameters (Å, degrees): 3.1243 3.1243 9.8029 90.00 90.00 120.00
Closest atoms and distances in Å follow each position.
Sites, in units of the cell vectors:
Cr1 0.0000 0.0000 0.0000  6 Cd 2.92, 6 Cr 3.12
Cd1 0.0000 0.0000 0.5000  12 Cd 3.12-3.17
Cd2 0.6667 0.3333 0.2336  3 Cr 2.92, 9 Cd 3.12-3.17
Cd3 0.6667 0.3333 0.7664  3 Cr 2.92, 9 Cd 3.12-3.17

Values from the calculation:
total DFT energy (no corrections) = -2.80 eV/atom
N(E_F) = 1.91 states/eV/f.u.
V = 83 Å³/cell

An optimized crystal structure of Zn3Ga2Cu4, computed with PBE.

Lattice parameters (Å, degrees): 4.2247 4.2247 7.8581 90.00 90.00 120.00
Closest atoms and distances in Å follow each position.
Sites, in units of the cell vectors:
Zn1 0.0000 0.0000 0.0000  8 Cu 2.60-2.63
Zn2 0.3333 0.6667 0.5582  4 Cu 2.57-2.58, 3 Zn 2.61, 1 Ga 2.71
Zn3 0.6667 0.3333 0.4418  4 Cu 2.57-2.58, 3 Zn 2.61, 1 Ga 2.71
Ga1 0.3333 0.6667 0.2128  7 Cu 2.56-2.62, 1 Zn 2.71
Ga2 0.6667 0.3333 0.7872  7 Cu 2.56-2.62, 1 Zn 2.71
Cu1 0.0000 0.0000 0.3352  4 Zn 2.58-2.63, 1 Cu 2.59, 3 Ga 2.62
Cu2 0.0000 0.0000 0.6648  4 Zn 2.58-2.63, 1 Cu 2.59, 3 Ga 2.62
Cu3 0.3333 0.6667 0.8850  4 Ga 2.56-2.58, 4 Zn 2.57-2.60
Cu4 0.6667 0.3333 0.1150  4 Ga 2.56-2.58, 4 Zn 2.57-2.60

Values from the calculation:
polymorph energy (0 for the lowest one) = 0.035 eV per atom
N(E_F) = 1.30 states/eV/f.u.
V = 121 Å³/cell

An optimized crystal structure of KZr2Pb, computed with PBE.

Lattice parameters (Å, degrees): 3.2742 3.2742 10.8871 90.00 90.00 90.00
Closest atoms and distances in Å follow each position.
Sites, in units of the cell vectors:
K1 0.0000 0.0000 0.0000  4 K 3.27
Zr1 0.0000 0.0000 0.4901  8 Zr 3.12-3.27, 4 Pb 3.34
Zr2 0.5000 0.5000 0.6825  8 Zr 3.12-3.27
Pb1 0.5000 0.5000 0.2691  4 Pb 3.27, 4 Zr 3.34

Values from the calculation:
polymorph energy (0 for the lowest one) = 0.000 eV per atom
N(E_F) = 2.88 states/eV/f.u.
V = 117 Å³/cell

An optimized crystal structure of ZnInSe, computed with PBE.

Lattice parameters (Å, degrees): 3.9119 3.9119 5.2450 90.00 90.00 120.00
Closest atoms and distances in Å follow each position.
Sites, in units of the cell vectors:
Zn1 0.0000 0.0000 0.0000  3 Se 2.58
In1 0.6667 0.3333 0.3621  3 Zn 2.95, 3 Se 3.08
Se1 0.3333 0.6667 0.7605  3 Zn 2.58

Values from the calculation:
energy relative to the elements, uncorrected = -275.3 meV per atom
polymorph energy (0 for the lowest one) = 0.000 eV per atom
N(E_F) = 0.83 states/eV/f.u.
V = 70 Å³/cell

An optimized crystal structure of Ce2AlZn6, computed with PBE.

Lattice parameters (Å, degrees): 5.8123 5.8123 5.8152 90.00 90.00 120.00
Closest atoms and distances in Å follow each position.
Sites, in units of the cell vectors:
Ce1 0.3333 0.6667 0.3490  12 Zn 3.11-3.34, 3 Al 3.47
Ce2 0.6667 0.3333 0.6510  12 Zn 3.11-3.34, 3 Al 3.47
Al1 0.0000 0.0000 0.5000  6 Zn 2.68
Zn1 0.1790 0.3579 0.8405  4 Zn 2.59-2.69, 1 Al 2.68
Zn2 0.1790 0.8210 0.8405  4 Zn 2.59-2.69, 1 Al 2.68
Zn3 0.3579 0.1790 0.1595  4 Zn 2.59-2.69, 1 Al 2.68
Zn4 0.6421 0.8210 0.8405  4 Zn 2.59-2.69, 1 Al 2.68
Zn5 0.8210 0.1790 0.1595  4 Zn 2.59-2.69, 1 Al 2.68
Zn6 0.8210 0.6421 0.1595  4 Zn 2.59-2.69, 1 Al 2.68

Values from the calculation:
total DFT energy (no corrections) = -2.86 eV/atom
N(E_F) = 12.47 states/eV/f.u.
V = 170 Å³/cell

An optimized crystal structure of Tl2RuN, computed with PBE.

Lattice parameters (Å, degrees): 6.5711 6.5711 6.5711 90.00 90.00 90.00
Closest atoms and distances in Å follow each position.
Sites, in units of the cell vectors:
Tl1 0.2500 0.2500 0.2500  4 Ru 2.85, 4 N 2.85
Tl2 0.2500 0.2500 0.7500  4 Ru 2.85, 4 N 2.85
Tl3 0.2500 0.7500 0.2500  4 Ru 2.85, 4 N 2.85
Tl4 0.2500 0.7500 0.7500  4 Ru 2.85, 4 N 2.85
Tl5 0.7500 0.2500 0.2500  4 Ru 2.85, 4 N 2.85
Tl6 0.7500 0.2500 0.7500  4 Ru 2.85, 4 N 2.85
Tl7 0.7500 0.7500 0.2500  4 N 2.85, 4 Ru 2.85
Tl8 0.7500 0.7500 0.7500  4 Ru 2.85, 4 N 2.85
Ru1 0.0000 0.0000 0.0000  8 Tl 2.85
Ru2 0.0000 0.5000 0.5000  8 Tl 2.85
Ru3 0.5000 0.0000 0.5000  8 Tl 2.85
Ru4 0.5000 0.5000 0.0000  8 Tl 2.85
N1 0.0000 0.0000 0.5000  8 Tl 2.85
N2 0.0000 0.5000 0.0000  8 Tl 2.85
N3 0.5000 0.0000 0.0000  8 Tl 2.85
N4 0.5000 0.5000 0.5000  8 Tl 2.85

Values from the calculation:
energy relative to the elements, uncorrected = 1457.7 meV per atom
polymorph energy (0 for the lowest one) = 0.250 eV per atom
N(E_F) = 1.44 states/eV/f.u.
V = 284 Å³/cell

An optimized crystal structure of CdGaTe3, computed with PBE.

Lattice parameters (Å, degrees): 6.8431 12.8648 7.5961 90.00 90.00 90.00
Closest atoms and distances in Å follow each position.
Sites, in units of the cell vectors:
Cd1 0.0000 0.0000 0.0000  2 Te 2.83
Cd2 0.0000 0.5000 0.0000  2 Te 2.83
Cd3 0.5000 0.0000 0.5000  2 Te 2.83
Cd4 0.5000 0.5000 0.5000  2 Te 2.83
Ga1 0.2426 0.2500 0.4081  4 Te 2.63-2.68
Ga2 0.2574 0.7500 0.9081  4 Te 2.63-2.68
Ga3 0.7426 0.2500 0.0919  4 Te 2.63-2.68
Ga4 0.7574 0.7500 0.5919  4 Te 2.63-2.68
Te1 0.1293 0.0821 0.5912  1 Ga 2.68, 1 Cd 2.83
Te2 0.1293 0.4179 0.5912  1 Ga 2.68, 1 Cd 2.83
Te3 0.1322 0.2500 0.0766  2 Ga 2.63-2.67
Te4 0.3678 0.7500 0.5766  2 Ga 2.63-2.67
Te5 0.3707 0.5821 0.0912  1 Ga 2.68, 1 Cd 2.83
Te6 0.3707 0.9179 0.0912  1 Ga 2.68, 1 Cd 2.83
Te7 0.6293 0.0821 0.9088  1 Ga 2.68, 1 Cd 2.83
Te8 0.6293 0.4179 0.9088  1 Ga 2.68, 1 Cd 2.83
Te9 0.6322 0.2500 0.4234  2 Ga 2.63-2.67
Te10 0.8678 0.7500 0.9234  2 Ga 2.63-2.67
Te11 0.8707 0.5821 0.4088  1 Ga 2.68, 1 Cd 2.83
Te12 0.8707 0.9179 0.4088  1 Ga 2.68, 1 Cd 2.83

Values from the calculation:
energy relative to the elements, uncorrected = -186.2 meV per atom
polymorph energy (0 for the lowest one) = 0.000 eV per atom
N(E_F) = 1.26 states/eV/f.u.
V = 669 Å³/cell

An optimized crystal structure of Ho5Cd4Pt, computed with PBE.

Lattice parameters (Å, degrees): 3.6531 3.6531 18.5603 90.00 90.00 90.00
Closest atoms and distances in Å follow each position.
Sites, in units of the cell vectors:
Ho1 0.0000 0.0000 0.0000  8 Cd 3.21
Ho2 0.0000 0.0000 0.2065  8 Cd 3.18-3.22
Ho3 0.0000 0.0000 0.4135  4 Pt 3.04, 1 Ho 3.21, 4 Cd 3.26
Ho4 0.0000 0.0000 0.5865  4 Pt 3.04, 1 Ho 3.21, 4 Cd 3.26
Ho5 0.0000 0.0000 0.7935  8 Cd 3.18-3.22
Cd1 0.5000 0.5000 0.1028  8 Ho 3.21-3.22
Cd2 0.5000 0.5000 0.3065  8 Ho 3.18-3.26
Cd3 0.5000 0.5000 0.6935  8 Ho 3.18-3.26
Cd4 0.5000 0.5000 0.8972  8 Ho 3.21-3.22
Pt1 0.5000 0.5000 0.5000  8 Ho 3.04

Values from the calculation:
total DFT energy (no corrections) = -3.77 eV/atom
N(E_F) = 7.78 states/eV/f.u.
V = 248 Å³/cell

An optimized crystal structure of Ca3Ac5Te8, computed with PBE.

Lattice parameters (Å, degrees): 9.3641 9.3641 9.3641 59.34 59.34 59.34
Closest atoms and distances in Å follow each position.
Sites, in units of the cell vectors:
Ca1 0.0000 0.5000 0.5000  6 Te 3.21-3.22
Ca2 0.5000 0.0000 0.5000  6 Te 3.21-3.22
Ca3 0.5000 0.5000 0.0000  6 Te 3.21-3.22
Ac1 0.0000 0.0000 0.0000  6 Te 3.30
Ac2 0.0000 0.0000 0.5000  6 Te 3.38
Ac3 0.0000 0.5000 0.0000  6 Te 3.38
Ac4 0.5000 0.0000 0.0000  6 Te 3.38
Ac5 0.5000 0.5000 0.5000  6 Te 3.30
Te1 0.2500 0.2500 0.7367  2 Ca 3.21, 4 Ac 3.30-3.38
Te2 0.2500 0.7367 0.2500  2 Ca 3.21, 4 Ac 3.30-3.38
Te3 0.2560 0.2560 0.2560  3 Ca 3.22, 3 Ac 3.38
Te4 0.2633 0.7500 0.7500  2 Ca 3.21, 4 Ac 3.30-3.38
Te5 0.7367 0.2500 0.2500  2 Ca 3.21, 4 Ac 3.30-3.38
Te6 0.7440 0.7440 0.7440  3 Ca 3.22, 3 Ac 3.38
Te7 0.7500 0.2633 0.7500  2 Ca 3.21, 4 Ac 3.30-3.38
Te8 0.7500 0.7500 0.2633  2 Ca 3.21, 4 Ac 3.30-3.38

Values from the calculation:
energy relative to the elements, uncorrected = -1523.3 meV per atom
N(E_F) = 8.78 states/eV/f.u.
V = 572 Å³/cell

An optimized crystal structure of BiAu2, computed with PBE.

Lattice parameters (Å, degrees): 3.6200 3.6200 10.1419 90.00 90.00 90.00
Closest atoms and distances in Å follow each position.
Sites, in units of the cell vectors:
Bi1 0.0000 0.0000 0.0000  10 Au 3.15-3.23
Bi2 0.5000 0.5000 0.5000  10 Au 3.15-3.23
Au1 0.0000 0.0000 0.3185  4 Au 2.91, 5 Bi 3.15-3.23
Au2 0.0000 0.0000 0.6815  4 Au 2.91, 5 Bi 3.15-3.23
Au3 0.5000 0.5000 0.1815  4 Au 2.91, 5 Bi 3.15-3.23
Au4 0.5000 0.5000 0.8185  4 Au 2.91, 5 Bi 3.15-3.23

Values from the calculation:
polymorph energy (0 for the lowest one) = 0.078 eV per atom
N(E_F) = 1.10 states/eV/f.u.
V = 133 Å³/cell

An optimized crystal structure of K2SrV, computed with PBE.

Lattice parameters (Å, degrees): 8.9997 8.9997 8.9997 90.00 90.00 90.00
Closest atoms and distances in Å follow each position.
Sites, in units of the cell vectors:
K1 0.2500 0.2500 0.2500  4 Sr 3.90, 4 V 3.90
K2 0.2500 0.2500 0.7500  4 Sr 3.90, 4 V 3.90
K3 0.2500 0.7500 0.2500  4 Sr 3.90, 4 V 3.90
K4 0.2500 0.7500 0.7500  4 Sr 3.90, 4 V 3.90
K5 0.7500 0.2500 0.2500  4 Sr 3.90, 4 V 3.90
K6 0.7500 0.2500 0.7500  4 Sr 3.90, 4 V 3.90
K7 0.7500 0.7500 0.2500  4 Sr 3.90, 4 V 3.90
K8 0.7500 0.7500 0.7500  4 Sr 3.90, 4 V 3.90
Sr1 0.0000 0.0000 0.0000  8 K 3.90
Sr2 0.0000 0.5000 0.5000  8 K 3.90
Sr3 0.5000 0.0000 0.5000  8 K 3.90
Sr4 0.5000 0.5000 0.0000  8 K 3.90
V1 0.0000 0.0000 0.5000  8 K 3.90
V2 0.0000 0.5000 0.0000  8 K 3.90
V3 0.5000 0.0000 0.0000  8 K 3.90
V4 0.5000 0.5000 0.5000  8 K 3.90

Values from the calculation:
polymorph energy (0 for the lowest one) = 0.043 eV per atom
N(E_F) = 7.68 states/eV/f.u.
V = 729 Å³/cell

An optimized crystal structure of Mg2NiBAs, computed with PBE.

Lattice parameters (Å, degrees): 4.4805 4.4805 4.1698 90.00 90.00 90.00
Closest atoms and distances in Å follow each position.
Sites, in units of the cell vectors:
Mg1 0.0000 0.5000 0.0000  2 B 2.24
Mg2 0.5000 0.0000 0.0000  2 B 2.24
Ni1 0.0000 0.0000 0.5000  8 Mg 3.06, 4 As 3.17
B1 0.5000 0.5000 0.0000  2 As 2.08, 4 Mg 2.24
As1 0.5000 0.5000 0.5000  2 B 2.08

Values from the calculation:
total DFT energy (no corrections) = -3.55 eV/atom
N(E_F) = 1.51 states/eV/f.u.
V = 84 Å³/cell